Entry 1:
CaTa2Mn2: optimized geometry, PBE.

abc: 6.062 6.062 6.062
angles: 139.57 139.57 58.50
Fractional coordinates of all 5 atoms:
Ca: 0.000 0.000 0.000
Ta: 0.250 0.750 0.500
Ta: 0.750 0.250 0.500
Mn: 0.387 0.387 0.000
Mn: 0.613 0.613 0.000

Values from the calculation:
Density of states at the Fermi level = 5.12 states/eV/cell
Formation energy from the elements = 0.32 eV per atom

=====

Entry 2:
Rb2ErCu2Te4: optimized geometry, PBE.

abc: 8.264 8.264 8.827
angles: 107.66 107.66 29.98
Fractional coordinates of all 9 atoms:
Rb: 0.132 0.132 0.052
Rb: 0.868 0.868 0.948
Er: 0.000 0.000 0.500
Cu: 0.317 0.317 0.513
Cu: 0.683 0.683 0.487
Te: 0.201 0.201 0.674
Te: 0.477 0.477 0.729
Te: 0.523 0.523 0.271
Te: 0.799 0.799 0.326

Values from the calculation:
Uncorrected energy = -34.7 eV/cell
Density of states at the Fermi level = 3.98 states/eV/cell

=====

Entry 3:
YGe2Mo: optimized geometry, PBE.

abc: 9.211 9.211 9.211
angles: 150.48 150.48 42.24
Fractional coordinates of all 8 atoms:
Y: 0.000 0.000 0.000
Y: 0.750 0.250 0.500
Ge: 0.270 0.625 0.145
Ge: 0.375 0.520 0.645
Ge: 0.480 0.125 0.855
Ge: 0.875 0.730 0.355
Mo: 0.250 0.750 0.500
Mo: 0.500 0.500 0.000

Values from the calculation:
Relative energy among the computed polymorphs = 444 meV per atom
Density of states at the Fermi level = 4.75 states/eV/cell
Formation energy from the elements = 0.13 eV per atom

=====

Entry 4:
Tm5Ag2: optimized geometry, PBE.

abc: 9.070 9.070 9.070
angles: 133.04 66.14 136.22
Fractional coordinates of all 14 atoms:
Tm: 0.024 0.250 0.774
Tm: 0.090 0.647 0.736
Tm: 0.250 0.250 0.000
Tm: 0.410 0.147 0.557
Tm: 0.476 0.250 0.226
Tm: 0.524 0.750 0.774
Tm: 0.590 0.853 0.443
Tm: 0.750 0.750 0.000
Tm: 0.910 0.353 0.264
Tm: 0.976 0.750 0.226
Ag: 0.120 0.257 0.377
Ag: 0.380 0.757 0.137
Ag: 0.620 0.243 0.863
Ag: 0.880 0.743 0.623

Values from the calculation:
Relative energy among the computed polymorphs = 20 meV per atom
Density of states at the Fermi level = 12.39 states/eV/cell
Formation energy from the elements = -0.12 eV per atom

=====

Entry 5:
ScNiHIr2: optimized geometry, PBE.

abc: 3.983 3.983 3.827
angles: 90.00 90.00 90.00
Fractional coordinates of all 5 atoms:
Sc: 0.000 0.000 0.000
Ni: 0.500 0.500 0.000
H: 0.500 0.500 0.500
Ir: 0.000 0.500 0.500
Ir: 0.500 0.000 0.500

Values from the calculation:
Relative energy among the computed polymorphs = 0 meV per atom
Density of states at the Fermi level = 2.93 states/eV/cell

=====

Entry 6:
Nd12HoTl7: optimized geometry, PBE.

abc: 8.986 8.986 8.986
angles: 101.08 101.08 101.08
Fractional coordinates of all 20 atoms:
Nd: 0.125 0.440 0.378
Nd: 0.182 0.320 0.720
Nd: 0.280 0.818 0.680
Nd: 0.320 0.720 0.182
Nd: 0.378 0.125 0.440
Nd: 0.440 0.378 0.125
Nd: 0.560 0.622 0.875
Nd: 0.622 0.875 0.560
Nd: 0.680 0.280 0.818
Nd: 0.720 0.182 0.320
Nd: 0.818 0.680 0.280
Nd: 0.875 0.560 0.622
Ho: 0.000 0.000 0.000
Tl: 0.018 0.041 0.351
Tl: 0.041 0.351 0.018
Tl: 0.351 0.018 0.041
Tl: 0.500 0.500 0.500
Tl: 0.649 0.982 0.959
Tl: 0.959 0.649 0.982
Tl: 0.982 0.959 0.649

Values from the calculation:
Density of states at the Fermi level = 21.55 states/eV/cell
Formation energy from the elements = -0.03 eV per atom

=====

Entry 7:
Os5Pt12W3: optimized geometry, PBE.

abc: 12.759 12.759 12.759
angles: 109.47 109.47 109.47
Fractional coordinates of all 80 atoms:
Os: 0.000 0.000 0.000
Os: 0.000 0.000 0.500
Os: 0.000 0.500 0.000
Os: 0.000 0.500 0.500
Os: 0.125 0.750 0.875
Os: 0.125 0.875 0.250
Os: 0.250 0.125 0.875
Os: 0.250 0.625 0.375
Os: 0.375 0.250 0.625
Os: 0.375 0.625 0.750
Os: 0.500 0.000 0.000
Os: 0.500 0.000 0.500
Os: 0.500 0.500 0.000
Os: 0.500 0.500 0.500
Os: 0.625 0.375 0.250
Os: 0.625 0.750 0.375
Os: 0.750 0.375 0.625
Os: 0.750 0.875 0.125
Os: 0.875 0.125 0.750
Os: 0.875 0.250 0.125
Pt: 0.060 0.227 0.141
Pt: 0.060 0.332 0.919
Pt: 0.081 0.641 0.414
Pt: 0.081 0.940 0.668
Pt: 0.086 0.727 0.668
Pt: 0.086 0.859 0.419
Pt: 0.141 0.060 0.227
Pt: 0.141 0.581 0.914
Pt: 0.168 0.227 0.586
Pt: 0.168 0.440 0.581
Pt: 0.227 0.141 0.060
Pt: 0.227 0.586 0.168
Pt: 0.273 0.332 0.914
Pt: 0.273 0.440 0.359
Pt: 0.332 0.914 0.273
Pt: 0.332 0.919 0.060
Pt: 0.359 0.273 0.440
Pt: 0.359 0.586 0.919
Pt: 0.414 0.081 0.641
Pt: 0.414 0.832 0.773
Pt: 0.419 0.086 0.859
Pt: 0.419 0.832 0.560
Pt: 0.440 0.359 0.273
Pt: 0.440 0.581 0.168
Pt: 0.560 0.419 0.832
Pt: 0.560 0.641 0.727
Pt: 0.581 0.168 0.440
Pt: 0.581 0.914 0.141
Pt: 0.586 0.168 0.227
Pt: 0.586 0.919 0.359
Pt: 0.641 0.414 0.081
Pt: 0.641 0.727 0.560
Pt: 0.668 0.081 0.940
Pt: 0.668 0.086 0.727
Pt: 0.727 0.560 0.641
Pt: 0.727 0.668 0.086
Pt: 0.773 0.414 0.832
Pt: 0.773 0.859 0.940
Pt: 0.832 0.560 0.419
Pt: 0.832 0.773 0.414
Pt: 0.859 0.419 0.086
Pt: 0.859 0.940 0.773
Pt: 0.914 0.141 0.581
Pt: 0.914 0.273 0.332
Pt: 0.919 0.060 0.332
Pt: 0.919 0.359 0.586
Pt: 0.940 0.668 0.081
Pt: 0.940 0.773 0.859
W: 0.125 0.250 0.375
W: 0.125 0.375 0.750
W: 0.250 0.375 0.125
W: 0.250 0.875 0.625
W: 0.375 0.125 0.250
W: 0.375 0.750 0.125
W: 0.625 0.250 0.875
W: 0.625 0.875 0.750
W: 0.750 0.125 0.375
W: 0.750 0.625 0.875
W: 0.875 0.625 0.250
W: 0.875 0.750 0.625

Values from the calculation:
Density of states at the Fermi level = 84.67 states/eV/cell
Formation energy from the elements = 0.78 eV per atom

=====

Entry 8:
AgRuAu2: optimized geometry, PBE.

abc: 4.606 4.606 4.606
angles: 60.00 60.00 60.00
Fractional coordinates of all 4 atoms:
Ag: 0.000 0.000 0.000
Ru: 0.250 0.250 0.250
Au: 0.500 0.500 0.500
Au: 0.750 0.750 0.750

Values from the calculation:
Relative energy among the computed polymorphs = 202 meV per atom
Density of states at the Fermi level = 4.07 states/eV/cell
Formation energy from the elements = 0.45 eV per atom

=====

Entry 9:
PaCdS4: optimized geometry, PBE.

abc: 6.595 6.359 6.757
angles: 90.00 91.67 90.00
Fractional coordinates of all 12 atoms:
Pa: 0.000 0.000 0.000
Pa: 0.000 0.500 0.500
Cd: 0.500 0.000 0.500
Cd: 0.500 0.500 0.000
S: 0.137 0.144 0.342
S: 0.137 0.356 0.842
S: 0.376 0.618 0.400
S: 0.376 0.882 0.900
S: 0.624 0.118 0.100
S: 0.624 0.382 0.600
S: 0.863 0.644 0.158
S: 0.863 0.856 0.658

Values from the calculation:
Uncorrected energy = -64.0 eV/cell
Density of states at the Fermi level = 1.81 states/eV/cell

=====

Entry 10:
AlTePtI2: optimized geometry, PBE.

abc: 5.608 5.608 5.253
angles: 90.00 90.00 90.00
Fractional coordinates of all 5 atoms:
Al: 0.000 0.000 0.000
Te: 0.500 0.500 0.000
Pt: 0.500 0.500 0.500
I: 0.000 0.500 0.500
I: 0.500 0.000 0.500

Values from the calculation:
Relative energy among the computed polymorphs = 0 meV per atom
Density of states at the Fermi level = 5.56 states/eV/cell